Entry from Alexandria: a relaxed Na2Dy2MoO6 crystal (PBE+U).

Cell and atoms, written as extended XYZ:
```
11
Lattice="2.917 -4.986 0.000 2.917 4.986 0.000 -1.736 0.000 5.650" Properties=species:S:1:pos:R:3 pbc="T T T"
Na 2.917 3.473 0.000
Na 2.917 -3.473 0.000
Dy 2.049 1.623 2.825
Dy 2.049 -1.623 2.825
Mo -0.868 0.000 2.825
O 0.003 1.565 3.913
O 0.949 0.000 1.683
O 0.003 -1.565 3.913
O 4.094 1.565 1.737
O 3.148 0.000 3.967
O 4.094 -1.565 1.737
```

Calculated values
As for the crystal system: monoclinic. The value obtained for the raw total energy is -76.019 eV/f.u.